A plane-wave DFT calculation with PBE-GGA was carried out for TaMn2RuN after structural relaxation.

Structure (extended XYZ):
```
5
Lattice="3.873 0.000 0.000 0.000 3.873 0.000 0.000 0.000 4.218" Properties=species:S:1:pos:R:3 pbc="T T T"
Ta 0.000 0.000 2.109
Ru 1.936 1.936 2.109
N 0.000 0.000 0.000
Mn 0.000 1.936 0.000
Mn 1.936 0.000 0.000
```

Computed properties:
Formation energy without anion corrections (eV/atom): -0.29
V (Å³/cell): 63.3